The following is a GGA-PBE calculation of a geometry-optimized Pm2SnSb structure, from Alexandria via LeMat-Bulk.

Results
**Excess energy over the best structure of this formula in the dataset**: 100.7 meV per atom
**Total magnetic moment**: 0.00 μB/f.u.
**Energy relative to the elements, uncorrected**: -0.878 eV per atom
**E**: -5.2846 eV/atom
**Fermi-level density of states**: 2.9 states/eV per cell

Cell: 7.571 4.362 8.152 Å, 90.00 107.96 90.00°
Space group C2/m (No. 12)
One atom of each set of equivalent atoms:
1 Pm 0.247 0.000 0.242 x4
2 Sn 0.000 0.000 0.500 x2
3 Sb 0.000 0.500 0.000 x2


The following is a GGA-PBE calculation of a geometry-optimized Nb2NO2 structure, from Alexandria via LeMat-Bulk.

Results
**Total magnetic moment**: 0.00 μB/f.u.
**Energy relative to the elements, uncorrected**: -0.875 eV per atom
**E**: -8.5512 eV/atom
**Fermi-level density of states**: 4.0 states/eV per cell

Cell: 3.969 3.969 7.214 Å, 90.00 90.00 90.00°
Space group I4/mmm (No. 139)
One atom of each set of equivalent atoms:
1 Nb 0.000 0.500 0.250 x4
2 N 0.000 0.000 0.000 x2
3 O 0.000 0.000 0.348 x4


The following is a GGA-PBE calculation of a geometry-optimized CuSi3S structure, from Alexandria via LeMat-Bulk.

Results
**Excess energy over the best structure of this formula in the dataset**: 0.0 meV per atom
**Total magnetic moment**: 0.00 μB/f.u.
**Energy relative to the elements, uncorrected**: 0.752 eV per atom
**E**: -4.1465 eV/atom
**Fermi-level density of states**: 2.2 states/eV per cell

Cell: 4.522 4.522 4.522 Å, 90.00 90.00 90.00°
Space group Pm-3m (No. 221)
One atom of each set of equivalent atoms:
1 Cu 0.000 0.000 0.000 x1
2 Si 0.000 0.000 0.500 x3
3 S 0.500 0.500 0.500 x1


The following is a GGA-PBE calculation of a geometry-optimized HoTm4Sc4 structure, from Alexandria via LeMat-Bulk.

Results
**Excess energy over the best structure of this formula in the dataset**: 0.0 meV per atom
**Total magnetic moment**: 0.00 μB/f.u.
**E**: -5.2580 eV/atom
**Formation energy from the elements**: 0.052 eV per atom
**Fermi-level density of states**: 27.3 states/eV per cell

Cell: 10.178 10.178 4.791 Å, 90.00 90.00 90.00°
Space group I4/mmm (No. 139)
One atom of each set of equivalent atoms:
1 Ho 0.000 0.000 0.000 x2
2 Tm 0.000 0.330 0.000 x8
3 Sc 0.167 0.167 0.500 x8


The following is a GGA-PBE calculation of a geometry-optimized Ca2Al9Co structure, from Alexandria via LeMat-Bulk.

Results
**Total magnetic moment**: 0.00 μB/f.u.
**E**: -3.8376 eV/atom
**Formation energy from the elements**: -0.105 eV per atom
**Fermi-level density of states**: 4.2 states/eV per cell

Cell: 5.623 3.074 13.264 Å, 90.00 102.10 90.00°
Space group P2/m (No. 10)
One atom of each set of equivalent atoms:
1 Ca 0.146 0.000 0.293 x2
2 Al 0.000 0.000 0.000 x1
3 Al 0.000 0.000 0.500 x1
4 Al 0.210 0.500 0.877 x2
5 Al 0.332 0.500 0.123 x2
6 Al 0.338 0.500 0.676 x2
7 Al 0.500 0.000 0.500 x1
8 Co 0.500 0.000 0.000 x1


The following is a GGA-PBE calculation of a geometry-optimized LaPr5Tm3 structure, from Alexandria via LeMat-Bulk.

Results
**Excess energy over the best structure of this formula in the dataset**: 8.1 meV per atom
**Total magnetic moment**: 0.00 μB/f.u.
**E**: -4.4184 eV/atom
**Formation energy from the elements**: 0.275 eV per atom
**Fermi-level density of states**: 52.9 states/eV per cell

Cell: 18.772 6.605 11.382 Å, 90.00 114.34 90.00°
Space group C2/c (No. 15)
One atom of each set of equivalent atoms:
1 La 0.000 0.144 0.250 x4
2 Pr 0.000 0.397 0.750 x4
3 Pr 0.168 0.306 0.210 x8
4 Pr 0.169 0.168 0.862 x8
5 Tm 0.000 0.000 0.000 x4
6 Tm 0.161 0.300 0.514 x8


The following is a GGA-PBE calculation of a geometry-optimized BaBe2Mo structure, from Alexandria via LeMat-Bulk.

Results
**Excess energy over the best structure of this formula in the dataset**: 580.1 meV per atom
**Total magnetic moment**: 0.00 μB/f.u.
**E**: -4.0102 eV/atom
**Formation energy from the elements**: 1.041 eV per atom
**Fermi-level density of states**: 6.8 states/eV per cell

Cell: 2.923 5.294 9.408 Å, 90.00 90.00 90.00°
Space group Imm2 (No. 44)
One atom of each set of equivalent atoms:
1 Ba 0.000 0.000 0.000 x2
2 Be 0.000 0.000 0.519 x2
3 Be 0.000 0.500 0.208 x2
4 Mo 0.000 0.500 0.804 x2


The following is a GGA-PBE calculation of a geometry-optimized DyErTmSc structure, from Alexandria via LeMat-Bulk.

Results
**Excess energy over the best structure of this formula in the dataset**: 80.8 meV per atom
**Total magnetic moment**: 0.00 μB/f.u.
**E**: -4.8676 eV/atom
**Formation energy from the elements**: 0.124 eV per atom
**Fermi-level density of states**: 32.2 states/eV per cell

Cell: 7.772 7.772 7.772 Å, 90.00 90.00 90.00°
Space group F-43m (No. 216)
One atom of each set of equivalent atoms:
1 Dy 0.000 0.000 0.000 x4
2 Er 0.000 0.000 0.500 x4
3 Tm 0.250 0.250 0.750 x4
4 Sc 0.250 0.250 0.250 x4